[1]
# BaGeP2S (SCAN, single point on PBEsol structure)
data_BaGeP2S
_symmetry_space_group_name_H-M 'P 1'
_symmetry_Int_Tables_number 1
_symmetry_space_group_name_Hall 'P 1'
_cell_length_a 5.462
_cell_length_b 5.462
_cell_length_c 5.494
_cell_angle_alpha 90.00
_cell_angle_beta 90.00
_cell_angle_gamma 90.00
loop_
_atom_site_label
_atom_site_fract_x
_atom_site_fract_y
_atom_site_fract_z
Ba1 0.000 0.000 0.000
P1 0.000 0.500 0.000
P2 0.500 0.000 0.000
S1 0.000 0.000 0.500
Ge1 0.500 0.500 0.500
# - E_form (uncorrected) (kJ per mole of atoms) = 132.9
# - size of the total moment (μB per formula unit) = 1.89
# - ρ (g cm⁻³) = 3.08
# - total DFT energy (no corrections) (Ry per atom) = -1.2080

***

[2]
# Ba2Ge4Pd5 (SCAN, single point on PBEsol structure)
data_Ba2Ge4Pd5
_symmetry_space_group_name_H-M 'P 1'
_symmetry_Int_Tables_number 1
_symmetry_space_group_name_Hall 'P 1'
_cell_length_a 5.883
_cell_length_b 8.909
_cell_length_c 8.909
_cell_angle_alpha 104.47
_cell_angle_beta 90.00
_cell_angle_gamma 90.00
loop_
_atom_site_label
_atom_site_fract_x
_atom_site_fract_y
_atom_site_fract_z
Ge1 0.058 0.957 0.708
Ge2 0.442 0.792 0.543
Ge3 0.558 0.208 0.457
Ge4 0.058 0.292 0.043
Ge5 0.558 0.543 0.792
Ge6 0.942 0.043 0.292
Ge7 0.942 0.708 0.957
Ge8 0.442 0.457 0.208
Pd1 0.750 0.274 0.226
Pd2 0.500 0.500 0.500
Pd3 0.750 0.774 0.726
Pd4 0.250 0.523 0.977
Pd5 0.000 0.000 0.000
Pd6 0.250 0.226 0.274
Pd7 0.750 0.977 0.523
Pd8 0.750 0.477 0.023
Pd9 0.250 0.726 0.774
Pd10 0.250 0.023 0.477
Ba1 0.033 0.358 0.642
Ba2 0.967 0.642 0.358
Ba3 0.533 0.142 0.858
Ba4 0.467 0.858 0.142
# - ΔH_f (0 K) (eV per atom) = -0.768
# - size of the total moment (μB per formula unit) = 0.00
# - ρ (g cm⁻³) = 8.06
# - total DFT energy (no corrections) (Ry per atom) = -2.1901

***

[3]
# BaGePt2 (SCAN, single point on PBEsol structure)
data_BaGePt2
_symmetry_space_group_name_H-M 'P 1'
_symmetry_Int_Tables_number 1
_symmetry_space_group_name_Hall 'P 1'
_cell_length_a 5.200
_cell_length_b 5.200
_cell_length_c 8.865
_cell_angle_alpha 107.05
_cell_angle_beta 107.05
_cell_angle_gamma 90.00
loop_
_atom_site_label
_atom_site_fract_x
_atom_site_fract_y
_atom_site_fract_z
Pt1 0.125 0.398 0.750
Pt2 0.648 0.875 0.250
Pt3 0.602 0.375 0.250
Pt4 0.625 0.352 0.750
Ba1 0.250 0.750 0.500
Ba2 0.000 0.000 0.000
Ge1 0.500 0.500 0.000
Ge2 0.750 0.250 0.500
# - ΔH_f (0 K) (eV per atom) = -0.835
# - size of the total moment (μB per formula unit) = 0.00
# - ρ (g cm⁻³) = 9.14
# - total DFT energy (no corrections) (Ry per atom) = -3.7184

***

[4]
# Rb3BaGe (SCAN, single point on PBEsol structure)
data_Rb3BaGe
_symmetry_space_group_name_H-M 'P 1'
_symmetry_Int_Tables_number 1
_symmetry_space_group_name_Hall 'P 1'
_cell_length_a 6.862
_cell_length_b 6.862
_cell_length_c 6.862
_cell_angle_alpha 90.00
_cell_angle_beta 90.00
_cell_angle_gamma 90.00
loop_
_atom_site_label
_atom_site_fract_x
_atom_site_fract_y
_atom_site_fract_z
Rb1 0.500 0.000 0.000
Rb2 0.000 0.000 0.500
Rb3 0.000 0.500 0.000
Ge1 0.000 0.000 0.000
Ba1 0.500 0.500 0.500
# - ΔH_f (0 K) (eV per atom) = 0.289
# - size of the total moment (μB per formula unit) = 1.00
# - ρ (g cm⁻³) = 2.40
# - total DFT energy (no corrections) (Ry per atom) = -1.7553

***

[5]
# BaRe3Ge (SCAN, single point on PBEsol structure)
data_BaRe3Ge
_symmetry_space_group_name_H-M 'P 1'
_symmetry_Int_Tables_number 1
_symmetry_space_group_name_Hall 'P 1'
_cell_length_a 4.725
_cell_length_b 4.725
_cell_length_c 4.725
_cell_angle_alpha 90.00
_cell_angle_beta 90.00
_cell_angle_gamma 90.00
loop_
_atom_site_label
_atom_site_fract_x
_atom_site_fract_y
_atom_site_fract_z
Re1 0.500 0.000 0.000
Re2 0.000 0.500 0.000
Re3 0.000 0.000 0.500
Ba1 0.500 0.500 0.500
Ge1 0.000 0.000 0.000
# - ΔH_f (0 K) (eV per atom) = 1.643
# - size of the total moment (μB per formula unit) = 3.40
# - ρ (g cm⁻³) = 12.10
# - total DFT energy (no corrections) (Ry per atom) = -3.8766

***

[6]
# BaGe2Rh2 (SCAN, single point on PBEsol structure)
data_BaGe2Rh2
_symmetry_space_group_name_H-M 'P 1'
_symmetry_Int_Tables_number 1
_symmetry_space_group_name_Hall 'P 1'
_cell_length_a 4.166
_cell_length_b 4.166
_cell_length_c 6.592
_cell_angle_alpha 108.42
_cell_angle_beta 108.42
_cell_angle_gamma 90.00
loop_
_atom_site_label
_atom_site_fract_x
_atom_site_fract_y
_atom_site_fract_z
Rh1 0.250 0.750 0.500
Rh2 0.750 0.250 0.500
Ge1 0.144 0.144 0.288
Ge2 0.856 0.856 0.712
Ba1 0.500 0.500 0.000
# - ΔH_f (0 K) (eV per atom) = -0.871
# - size of the total moment (μB per formula unit) = 0.00
# - ρ (g cm⁻³) = 7.92
# - total DFT energy (no corrections) (Ry per atom) = -2.1995

***

[7]
# BaGe2Ru2 (SCAN, single point on PBEsol structure)
data_BaGe2Ru2
_symmetry_space_group_name_H-M 'P 1'
_symmetry_Int_Tables_number 1
_symmetry_space_group_name_Hall 'P 1'
_cell_length_a 6.129
_cell_length_b 6.129
_cell_length_c 7.085
_cell_angle_alpha 103.34
_cell_angle_beta 103.34
_cell_angle_gamma 117.82
loop_
_atom_site_label
_atom_site_fract_x
_atom_site_fract_y
_atom_site_fract_z
Ge1 0.822 0.178 0.000
Ge2 0.428 0.572 0.500
Ge3 0.178 0.822 0.000
Ge4 0.072 0.928 0.500
Ru1 0.128 0.628 0.256
Ru2 0.122 0.122 0.244
Ru3 0.372 0.872 0.744
Ru4 0.878 0.878 0.756
Ba1 0.750 0.250 0.500
Ba2 0.500 0.500 0.000
# - ΔH_f (0 K) (eV per atom) = -0.589
# - size of the total moment (μB per formula unit) = 0.00
# - ρ (g cm⁻³) = 7.64
# - total DFT energy (no corrections) (Ry per atom) = -2.2097

***

[8]
# BaGeS2 (SCAN, single point on PBEsol structure)
data_BaGeS2
_symmetry_space_group_name_H-M 'P 1'
_symmetry_Int_Tables_number 1
_symmetry_space_group_name_Hall 'P 1'
_cell_length_a 3.691
_cell_length_b 3.691
_cell_length_c 8.955
_cell_angle_alpha 78.11
_cell_angle_beta 78.11
_cell_angle_gamma 60.00
loop_
_atom_site_label
_atom_site_fract_x
_atom_site_fract_y
_atom_site_fract_z
S1 0.114 0.114 0.658
S2 0.886 0.886 0.342
Ge1 0.500 0.500 0.500
Ba1 0.000 0.000 0.000
# - E_form (uncorrected) (kJ per mole of atoms) = -38.2
# - size of the total moment (μB per formula unit) = 0.80
# - ρ (g cm⁻³) = 4.43
# - total DFT energy (no corrections) (Ry per atom) = -1.4604